DFT (GGA-PBE) results for a relaxed Pr4TmHg4 crystal.

Cell and atoms, written as extended XYZ:
```
18
Lattice="9.6109 0.0000 0.0000 0.0000 9.6109 0.0000 0.0000 0.0000 5.8053" Properties=species:S:1:pos:R:3 pbc="T T T"
Pr 0.8590 8.0440 0.7920
Pr 1.5669 5.6645 3.6946
Pr 3.2386 8.7519 3.6946
Pr 3.9464 6.3723 0.7920
Pr 5.6645 3.2386 5.0133
Pr 6.3723 0.8590 2.1106
Pr 8.0440 3.9464 2.1106
Pr 8.7519 1.5669 5.0133
Tm 2.4027 2.4027 4.3540
Tm 7.2082 7.2082 1.4513
Hg 0.5290 1.4307 2.1412
Hg 1.4307 4.2764 0.7615
Hg 3.3747 0.5290 0.7615
Hg 4.2764 3.3747 2.1412
Hg 5.3344 6.2362 3.6641
Hg 6.2362 9.0819 5.0438
Hg 8.1802 5.3344 5.0438
Hg 9.0819 8.1802 3.6641
```

Output
* calculated total energy: -0.222 Ry/atom
* SG: P4_2/n
* energy of formation from the pure elements: -2.36 eV per formula unit